This record from the Alexandria database describes TeMoN2O after structural relaxation. The functional is PBE with a Hubbard U. Values from VASP.

Geometry as Quantum ESPRESSO input:
```
&SYSTEM
  ibrav = 0, nat = 5, ntyp = 4
/
ATOMIC_SPECIES
N 14.01 N.upf
O 16.00 O.upf
Mo 95.94 Mo.upf
Te 127.60 Te.upf
ATOMIC_POSITIONS crystal
N 0.500 0.000 0.000
O 0.000 0.000 0.500
Mo 0.500 0.500 0.500
Te 0.000 0.000 0.000
N 0.000 0.500 0.000
CELL_PARAMETERS angstrom
-2.014 1.760 -3.093
-0.450 -3.652 -1.785
-3.388 -0.517 1.912
```

Properties
VASP energy	-5.42	eV/atom
calculated density	6.77	g/cm3